A plane-wave DFT calculation with GGA-PBEsol was carried out for crystalline RbLiCo2C at its relaxed geometry.

Unit cell a=4.1725 b=4.1725 c=5.1412 alpha=90.00 beta=90.00 gamma=90.00
Sites, in units of the cell vectors:
Rb 0.0000 0.0000 0.0000
Li 0.0000 0.0000 0.5000
Co 0.0000 0.5000 0.5000
Co 0.5000 0.0000 0.5000
C 0.5000 0.5000 0.0000

Values from the calculation:
- Mass density: 4.1 Mg/m³
- Energy of formation: 241.4 kJ/mol of atoms
- Calculated volume: 17.90 A^3/atom
- Energy: -3.12 eV/atom
- N(E_F): 8.2 states/eV/f.u.

A plane-wave DFT calculation with GGA-PBEsol was carried out for crystalline Ta2AsPt at its relaxed geometry.

Unit cell a=9.3486 b=2.8800 c=4.9473 alpha=90.00 beta=97.77 gamma=90.00
Sites, in units of the cell vectors:
Ta 0.2444 0.0000 0.2406
Ta 0.2556 0.5000 0.7594
Ta 0.7444 0.5000 0.2406
Ta 0.7556 0.0000 0.7594
As 0.0000 0.0000 0.5000
As 0.5000 0.5000 0.5000
Pt 0.0000 0.5000 0.0000
Pt 0.5000 0.0000 0.0000

Values from the calculation:
- Mass density: 15.9 Mg/m³
- Energy of formation: -15.2 kJ/mol of atoms
- Calculated volume: 16.50 A^3/atom
- Energy: -9.45 eV/atom
- N(E_F): 2.4 states/eV/f.u.

A plane-wave DFT calculation with GGA-PBEsol was carried out for crystalline MnCo3 at its relaxed geometry.

Unit cell a=2.4379 b=7.8024 c=4.2266 alpha=90.00 beta=90.00 gamma=90.00
Sites, in units of the cell vectors:
Mn 0.0000 0.0000 0.0000
Mn 0.5000 0.5000 0.5000
Co 0.0000 0.2505 0.3356
Co 0.0000 0.5000 0.0007
Co 0.0000 0.7495 0.3356
Co 0.5000 0.0000 0.5007
Co 0.5000 0.2495 0.8356
Co 0.5000 0.7505 0.8356

Values from the calculation:
- Mass density: 9.6 Mg/m³
- Energy of formation: 5.7 kJ/mol of atoms
- Calculated volume: 10.05 A^3/atom
- Energy: -8.18 eV/atom
- N(E_F): 5.4 states/eV/f.u.

A plane-wave DFT calculation with GGA-PBEsol was carried out for crystalline SnP2OsS at its relaxed geometry.

Unit cell a=4.4391 b=4.4391 c=5.2101 alpha=90.00 beta=90.00 gamma=90.00
Sites, in units of the cell vectors:
Sn 0.0000 0.0000 0.0000
P 0.0000 0.5000 0.5000
P 0.5000 0.0000 0.5000
Os 0.5000 0.5000 0.5000
S 0.5000 0.5000 0.0000

Values from the calculation:
- Mass density: 6.5 Mg/m³
- Energy relative to the elements, uncorrected: 0.421 eV/atom
- Calculated volume: 20.53 A^3/atom
- Energy: -6.07 eV/atom
- N(E_F): 2.7 states/eV/f.u.

The lowest N(E_F) belongs to which entry?
Ta2AsPt

Among the records above, which one has the highest N(E_F)?
RbLiCo2C